Record 1
A relaxed structure of Te2IrBr, computed with PBE.

Calculated values
Formation energy without anion corrections (meV/atom): 66
ΔE to the lowest computed polymorph (eV per atom): 0.3300

The structure in extended XYZ format:
```
4
Lattice="6.283 -1.803 0.000 6.283 1.803 0.000 -2.096 0.000 5.742" Properties=species:S:1:pos:R:3 pbc="T T T"
Te 0.000 0.000 0.000
Te 0.198 0.000 4.053
Ir 8.223 0.000 0.237
Br 3.060 0.000 1.735
```


Record 2
A relaxed structure of La8Dy6In, computed with PBE.

Calculated values
DFT formation energy (eV per atom): 0.07

The structure in extended XYZ format:
```
15
Lattice="9.328 0.000 0.000 -4.664 8.078 0.000 0.000 0.000 6.752" Properties=species:S:1:pos:R:3 pbc="T T T"
La -3.129 6.210 1.166
La 0.851 2.264 1.166
La 2.386 0.395 5.586
La 0.000 5.385 0.856
La 4.664 2.693 5.896
La 2.278 7.683 1.166
La 3.813 5.814 5.586
La 7.793 1.868 5.586
Dy -2.125 5.319 4.401
Dy 1.120 3.578 4.401
Dy 3.658 0.819 2.350
Dy 1.005 7.259 4.401
Dy 3.544 4.500 2.350
Dy 6.789 2.759 2.350
In 0.000 0.000 3.376
```


Record 3
A relaxed structure of RbSn2Pd2, computed with PBE.

Calculated values
DFT formation energy (eV per atom): -0.37
ΔE to the lowest computed polymorph (eV per atom): 0.0146

The structure in extended XYZ format:
```
10
Lattice="7.102 0.000 0.000 -2.851 6.524 0.000 -1.905 -3.379 6.385" Properties=species:S:1:pos:R:3 pbc="T T T"
Rb -0.783 1.415 1.597
Rb 3.130 1.729 4.788
Sn -0.403 -0.557 5.044
Sn 2.753 -0.949 1.851
Sn -0.406 4.093 4.534
Sn 2.749 3.701 1.340
Pd -2.402 4.752 2.812
Pd -0.567 1.886 6.002
Pd 2.913 1.258 0.383
Pd 4.748 -1.608 3.572
```


Record 4
A relaxed structure of MnBe2As, computed with PBE.

Calculated values
DFT formation energy (eV per atom): 0.20

The structure in extended XYZ format:
```
4
Lattice="4.224 0.000 0.000 0.000 2.744 0.000 -1.620 0.000 3.944" Properties=species:S:1:pos:R:3 pbc="T T T"
Mn 0.000 0.000 0.000
Be -0.810 1.372 1.972
Be 1.302 0.000 1.972
As 2.112 1.372 0.000
```


Record 5
A relaxed structure of La2Pr3Tm2, computed with PBE.

Calculated values
DFT formation energy (eV per atom): 0.02
ΔE to the lowest computed polymorph (eV per atom): 0.0000

The structure in extended XYZ format:
```
7
Lattice="6.308 0.000 0.000 -1.042 6.263 0.000 -1.104 -1.288 6.136" Properties=species:S:1:pos:R:3 pbc="T T T"
La 0.017 1.631 0.884
La 4.145 3.343 5.252
Pr -0.024 4.794 2.631
Pr 3.154 0.000 0.000
Pr 4.186 0.180 3.505
Tm 1.038 1.762 4.387
Tm 3.124 3.213 1.750
```


Record 6
A relaxed structure of Mo3W, computed with PBE.

Calculated values
DFT formation energy (eV per atom): -0.01
ΔE to the lowest computed polymorph (eV per atom): 0.0103

The structure in extended XYZ format:
```
16
Lattice="4.486 -4.485 0.000 4.486 4.485 0.000 -0.001 0.000 6.343" Properties=species:S:1:pos:R:3 pbc="T T T"
Mo 0.002 0.000 6.343
Mo 0.003 0.000 3.169
Mo 2.245 2.240 0.000
Mo 2.244 2.241 3.169
Mo 2.243 0.000 1.583
Mo 4.487 2.245 1.583
Mo 4.487 2.245 4.757
Mo 2.245 -2.240 0.000
Mo 2.244 -2.241 3.169
Mo 4.486 0.000 0.000
Mo 4.487 -2.245 1.583
Mo 4.487 -2.245 4.757
W 2.241 0.000 4.758
W 4.485 0.000 3.168
W 6.733 0.000 1.583
W 6.733 0.000 4.758
```


Record 7
A relaxed structure of Pm3TcB7, computed with PBE.

Calculated values
DFT formation energy (eV per atom): -0.48

The structure in extended XYZ format:
```
22
Lattice="1.810 -8.122 0.000 1.810 8.122 0.000 0.000 0.000 9.537" Properties=species:S:1:pos:R:3 pbc="T T T"
Pm 1.810 6.434 5.355
Pm 1.810 6.434 8.950
Pm 1.810 4.196 2.384
Pm 1.810 -4.196 7.152
Pm 1.810 -6.434 0.587
Pm 1.810 -6.434 4.181
Tc 1.810 7.224 2.384
Tc 1.810 -7.224 7.152
B 1.810 3.671 5.076
B 1.810 3.671 9.229
B 1.810 2.137 6.219
B 1.810 2.137 8.086
B 1.810 0.584 2.384
B 1.810 0.377 5.709
B 1.810 0.377 8.595
B 1.810 -0.377 0.941
B 1.810 -0.377 3.827
B 1.810 -0.584 7.152
B 1.810 -2.137 1.450
B 1.810 -2.137 3.318
B 1.810 -3.671 0.308
B 1.810 -3.671 4.460
```


Record 8
A relaxed structure of MnSb2As, computed with PBE.

Calculated values
Formation energy without anion corrections (meV/atom): 193

The structure in extended XYZ format:
```
4
Lattice="-1.785 1.898 6.959 1.785 -1.898 6.959 1.785 1.898 -6.959" Properties=species:S:1:pos:R:3 pbc="T T T"
Mn 0.000 0.000 0.000
Sb 1.785 0.000 3.851
Sb 0.000 0.000 8.065
As 0.000 1.898 5.098
```


Record 9
A relaxed structure of KPaSO2, computed with PBE.

Calculated values
Formation energy without anion corrections (meV/atom): -2647

The structure in extended XYZ format:
```
5
Lattice="4.322 0.000 0.000 0.000 4.322 0.000 0.000 0.000 5.489" Properties=species:S:1:pos:R:3 pbc="T T T"
K 0.000 0.000 0.000
Pa 2.161 2.161 2.421
S 2.161 2.161 5.137
O 0.000 2.161 2.324
O 2.161 0.000 2.324
```


Record 10
A relaxed structure of La2PmPr8, computed with PBE.

Calculated values
DFT formation energy (eV per atom): 0.14
ΔE to the lowest computed polymorph (eV per atom): 0.0000

The structure in extended XYZ format:
```
11
Lattice="8.581 -3.468 0.000 8.581 3.468 0.000 -1.270 0.000 6.797" Properties=species:S:1:pos:R:3 pbc="T T T"
La 3.010 0.000 2.110
La 12.883 0.000 4.687
Pm -0.635 0.000 3.399
Pr 6.965 1.645 0.625
Pr 3.152 0.000 5.551
Pr 8.928 1.645 6.173
Pr 6.287 0.000 3.987
Pr 9.606 0.000 2.811
Pr 6.965 -1.645 0.625
Pr 12.741 0.000 1.247
Pr 8.928 -1.645 6.173
```


Record 11
A relaxed structure of CsAg2Br4, computed with PBE.

Calculated values
Formation energy without anion corrections (meV/atom): -644
ΔE to the lowest computed polymorph (eV per atom): 0.0334

The structure in extended XYZ format:
```
7
Lattice="5.927 0.000 0.000 0.000 5.927 0.000 0.000 0.000 8.692" Properties=species:S:1:pos:R:3 pbc="T T T"
Cs 0.000 0.000 0.000
Ag 0.000 2.963 4.346
Ag 2.963 0.000 4.346
Br 1.606 1.606 2.709
Br 1.606 4.321 5.982
Br 4.321 1.606 5.982
Br 4.321 4.321 2.709
```


Record 12
A relaxed structure of SiPtC2, computed with PBE.

Calculated values
Formation energy without anion corrections (meV/atom): 542

The structure in extended XYZ format:
```
8
Lattice="-2.342 2.342 4.300 2.342 -2.342 4.300 2.342 2.342 -4.300" Properties=species:S:1:pos:R:3 pbc="T T T"
Si 0.000 0.000 0.000
Si 0.000 2.342 2.150
Pt 2.342 0.000 2.150
Pt 0.000 0.000 4.300
C 3.513 1.002 -1.075
C 1.002 1.171 1.075
C -1.171 1.340 3.225
C 1.340 1.171 5.375
```


Record 13
A relaxed structure of CdTc4Se, computed with PBE.

Calculated values
Formation energy without anion corrections (meV/atom): 597

The structure in extended XYZ format:
```
6
Lattice="0.000 3.703 3.703 3.703 0.000 3.703 3.703 3.703 0.000" Properties=species:S:1:pos:R:3 pbc="T T T"
Cd 0.000 0.000 0.000
Tc 2.785 2.785 2.785
Tc 4.620 4.620 2.785
Tc 4.620 2.785 4.620
Tc 2.785 4.620 4.620
Se 5.554 5.554 5.554
```


Record 14
A relaxed structure of NbPPd, computed with PBE.

Calculated values
DFT formation energy (eV per atom): -0.44

The structure in extended XYZ format:
```
6
Lattice="4.228 -1.700 0.000 4.228 1.700 0.000 -1.288 0.000 6.702" Properties=species:S:1:pos:R:3 pbc="T T T"
Nb 0.000 0.000 0.000
Nb -0.010 0.000 3.515
P 2.406 0.000 4.617
P 3.586 0.000 1.756
Pd 4.818 0.000 5.669
Pd 6.048 0.000 1.744
```


Record 15
A relaxed structure of La3Sm6DyHo2, computed with PBE.

Calculated values
DFT formation energy (eV per atom): 0.02

The structure in extended XYZ format:
```
12
Lattice="3.148 -5.457 0.000 3.148 5.457 0.000 -2.110 0.000 11.869" Properties=species:S:1:pos:R:3 pbc="T T T"
La 0.000 0.000 0.000
La 3.148 1.819 0.000
La 3.148 -1.819 0.000
Sm 1.046 1.820 3.043
Sm -0.010 0.000 8.825
Sm 1.046 -1.820 3.043
Sm 3.139 1.820 8.826
Sm 4.196 0.000 3.044
Sm 3.139 -1.820 8.826
Dy 2.093 0.000 5.934
Ho 2.093 3.638 5.934
Ho 2.093 -3.638 5.934
```


Record 16
A relaxed structure of Mg3TaTe, computed with PBE.

Calculated values
Formation energy without anion corrections (meV/atom): 1168
ΔE to the lowest computed polymorph (eV per atom): 0.0163

The structure in extended XYZ format:
```
5
Lattice="5.441 0.000 0.000 0.000 5.441 0.000 0.000 0.000 5.441" Properties=species:S:1:pos:R:3 pbc="T T T"
Mg 0.000 0.000 2.720
Mg 0.000 2.720 0.000
Mg 2.720 0.000 0.000
Ta 0.000 0.000 0.000
Te 2.720 2.720 2.720
```


Record 17
A relaxed structure of TcBi2I, computed with PBE.

Calculated values
Formation energy without anion corrections (meV/atom): 594
ΔE to the lowest computed polymorph (eV per atom): 0.0000

The structure in extended XYZ format:
```
8
Lattice="-3.514 3.514 6.429 3.514 -3.514 6.429 3.514 3.514 -6.429" Properties=species:S:1:pos:R:3 pbc="T T T"
Tc 0.000 0.000 0.000
Tc 0.000 3.514 3.215
Bi 5.272 1.040 -1.607
Bi 1.040 1.757 1.607
Bi -1.757 2.475 4.822
Bi 2.475 1.757 8.037
I 3.514 0.000 3.215
I 0.000 0.000 6.429
```


Record 18
A relaxed structure of CsZrSb2I, computed with PBE.

Calculated values
Formation energy without anion corrections (meV/atom): 1456
ΔE to the lowest computed polymorph (eV per atom): 1.9200

The structure in extended XYZ format:
```
5
Lattice="6.094 0.000 0.000 0.000 6.094 0.000 0.000 0.000 6.466" Properties=species:S:1:pos:R:3 pbc="T T T"
Cs 0.000 0.000 0.000
Zr 3.047 3.047 3.233
Sb 0.000 3.047 0.000
Sb 3.047 0.000 0.000
I 0.000 0.000 3.233
```


Record 19
A relaxed structure of RbNCl3, computed with PBE.

Calculated values
Formation energy without anion corrections (meV/atom): -154
ΔE to the lowest computed polymorph (eV per atom): 0.0000

The structure in extended XYZ format:
```
10
Lattice="6.265 0.000 0.000 0.004 6.453 0.000 3.120 0.289 8.484" Properties=species:S:1:pos:R:3 pbc="T T T"
Rb 1.568 1.473 0.225
Rb 7.821 5.268 8.259
N 4.700 6.151 6.249
N 4.690 0.591 2.235
Cl 1.565 6.047 3.334
Cl 1.568 4.671 0.843
Cl 4.694 4.805 5.381
Cl 4.695 1.937 3.103
Cl 7.822 2.071 7.641
Cl 7.825 0.694 5.150
```


Record 20
A relaxed structure of Pr2Nd8Sm, computed with PBE.

Calculated values
DFT formation energy (eV per atom): 0.16
ΔE to the lowest computed polymorph (eV per atom): 0.0183

The structure in extended XYZ format:
```
11
Lattice="8.416 -3.411 0.000 8.416 3.411 0.000 -1.745 0.000 6.817" Properties=species:S:1:pos:R:3 pbc="T T T"
Pr 2.782 0.000 2.809
Pr 12.305 0.000 4.007
Nd 6.344 1.588 2.211
Nd 2.239 0.000 6.554
Nd 8.743 1.588 4.606
Nd 5.470 0.000 5.577
Nd 9.617 0.000 1.240
Nd 6.344 -1.588 2.211
Nd 12.848 0.000 0.263
Nd 8.743 -1.588 4.606
Sm 0.000 0.000 0.000
```